(1)
The following is a DFT calculation (PBE) of an optimized crystal structure of DyHo2Au4.

Lattice parameters (Å, degrees): 6.037 6.037 4.927 90.00 90.00 104.87
Element x y z (fractional)
Dy 0.000 0.000 0.000
Ho 0.287 0.713 0.500
Ho 0.713 0.287 0.500
Au 0.000 0.500 0.000
Au 0.209 0.209 0.500
Au 0.500 0.000 0.000
Au 0.791 0.791 0.500

Output
- DFT formation energy: -0.730 eV/atom

---

(2)
The following is a DFT calculation (PBE) of an optimized crystal structure of KBeW2.

Lattice parameters (Å, degrees): 5.685 5.685 5.685 140.53 140.53 57.04
Element x y z (fractional)
K 0.000 0.000 0.000
Be 0.500 0.500 0.000
W 0.250 0.750 0.500
W 0.750 0.250 0.500

Output
- DFT formation energy: 1.841 eV/atom

---

(3)
The following is a DFT calculation (PBE) of an optimized crystal structure of Mg6ZnIn3.

Lattice parameters (Å, degrees): 8.383 5.079 11.170 90.00 111.04 90.00
Element x y z (fractional)
Mg 0.037 0.250 0.428
Mg 0.184 0.750 0.171
Mg 0.261 0.250 0.022
Mg 0.344 0.250 0.331
Mg 0.366 0.750 0.796
Mg 0.429 0.250 0.641
Mg 0.571 0.750 0.359
Mg 0.634 0.250 0.204
Mg 0.656 0.750 0.669
Mg 0.739 0.750 0.978
Mg 0.816 0.250 0.829
Mg 0.963 0.750 0.572
Zn 0.464 0.750 0.077
Zn 0.536 0.250 0.923
In 0.044 0.750 0.877
In 0.126 0.250 0.728
In 0.278 0.750 0.477
In 0.722 0.250 0.523
In 0.874 0.750 0.272
In 0.956 0.250 0.123

Output
- DFT formation energy: -0.066 eV/atom
- Polymorph energy (0 for the lowest one): 0.0000 eV/atom

---

(4)
The following is a DFT calculation (PBE) of an optimized crystal structure of TmTc2O8.

Lattice parameters (Å, degrees): 6.353 6.353 5.535 95.03 95.03 90.18
Element x y z (fractional)
Tm 0.000 0.000 0.000
Tc 0.234 0.234 0.639
Tc 0.766 0.766 0.361
O 0.003 0.711 0.214
O 0.176 0.176 0.319
O 0.289 0.997 0.786
O 0.423 0.423 0.725
O 0.577 0.577 0.275
O 0.711 0.003 0.214
O 0.824 0.824 0.681
O 0.997 0.289 0.786

Output
- Formation energy without anion corrections: -19.44 eV per formula unit
- Polymorph energy (0 for the lowest one): 0.0000 eV/atom

---

(5)
The following is a DFT calculation (PBE) of an optimized crystal structure of AlPt2W.

Lattice parameters (Å, degrees): 4.432 4.432 4.432 60.00 60.00 60.00
Element x y z (fractional)
Al 0.000 0.000 0.000
Pt 0.500 0.500 0.500
Pt 0.750 0.750 0.750
W 0.250 0.250 0.250

Output
- DFT formation energy: -0.207 eV/atom

---

(6)
The following is a DFT calculation (PBE) of an optimized crystal structure of SrRe2Te.

Lattice parameters (Å, degrees): 4.979 4.979 4.979 124.17 124.17 82.92
Element x y z (fractional)
Sr 0.000 0.000 0.000
Re 0.500 0.500 0.000
Re 0.750 0.250 0.500
Te 0.250 0.750 0.500

Output
- Formation energy without anion corrections: 4.29 eV per formula unit

---

(7)
The following is a DFT calculation (PBE) of an optimized crystal structure of Zn2CdAs.

Lattice parameters (Å, degrees): 2.958 4.021 6.303 90.00 90.00 90.00
Element x y z (fractional)
Zn 0.000 0.000 0.000
Zn 0.500 0.500 0.231
Cd 0.500 0.500 0.754
As 0.000 0.000 0.433

Output
- DFT formation energy: 0.127 eV/atom
- Polymorph energy (0 for the lowest one): 0.0517 eV/atom

---

(8)
The following is a DFT calculation (PBE) of an optimized crystal structure of CoSN2.

Lattice parameters (Å, degrees): 5.170 5.170 5.170 123.73 123.73 83.65
Element x y z (fractional)
Co 0.000 0.000 0.000
Co 0.750 0.250 0.500
S 0.250 0.750 0.500
S 0.500 0.500 0.000
N 0.069 0.625 0.944
N 0.375 0.319 0.444
N 0.681 0.125 0.056
N 0.875 0.931 0.556

Output
- Formation energy without anion corrections: 4.26 eV per formula unit
- Polymorph energy (0 for the lowest one): 1.1025 eV/atom

---

Number 1: size of the total moment 0.0 Bohr magnetons per cell, V 173.5 Å³ per cell. Number 2: size of the total moment 0.0 Bohr magnetons per cell, V 73.6 Å³ per cell. Number 3: size of the total moment 0.0 Bohr magnetons per cell, V 443.8 Å³ per cell. Number 4: size of the total moment 1.1 Bohr magnetons per cell, V 221.7 Å³ per cell. Number 5: size of the total moment 0.0 Bohr magnetons per cell, V 61.5 Å³ per cell. Number 6: size of the total moment 0.0 Bohr magnetons per cell, V 81.1 Å³ per cell. Number 7: size of the total moment 0.0 Bohr magnetons per cell, V 75.0 Å³ per cell. Number 8: size of the total moment 0.0 Bohr magnetons per cell, V 91.6 Å³ per cell.